# CsKLi4

A geometry-optimized CsKLi4 structure (GGA-PBE, Alexandria via LeMat-Bulk).

## Properties
D(E_F)   0.346 states/eV per atom
Crystal system   cubic
Calculated density   1.43 g/cm³
Formation energy   0.14 eV/atom
Space group   F-43m

a b c (Å): 6.8946 6.8946 6.8946
angles (deg): 60.00 60.00 60.00
Sites, in units of the cell vectors:
Cs1 0.0000 0.0000 0.0000
K1 0.7500 0.7500 0.7500
Li1 0.3763 0.3763 0.3763
Li2 0.3763 0.3763 0.8710
Li3 0.3763 0.8710 0.3763
Li4 0.8710 0.3763 0.3763